DFT (PBE) results for Pm2TmTh after structural relaxation.

Cell: 5.097 5.062 5.062 Å, 90.00 90.00 90.00°
Sites, in units of the cell vectors:
Tm  0.500  0.500  0.500
Pm  0.000  0.000  0.500
Pm  0.000  0.500  0.000
Th  0.500  0.000  0.000

Results
- Formation energy: 0.045 eV/atom
- ΔE to the lowest computed polymorph: 0.08 eV per formula unit



DFT (PBE) results for Pm8TmTh2 after structural relaxation.

Cell: 6.019 7.678 9.380 Å, 111.37 105.28 98.04°
Sites, in units of the cell vectors:
Pm  0.156  0.332  0.233
Pm  0.713  0.420  0.000
Pm  0.923  0.100  0.767
Pm  0.707  0.207  0.415
Pm  0.293  0.793  0.585
Pm  0.077  0.900  0.233
Pm  0.844  0.668  0.767
Pm  0.287  0.580  0.000
Tm  0.500  0.000  0.000
Th  0.307  0.307  0.614
Th  0.693  0.693  0.386

Results
- Formation energy: 0.196 eV/atom



DFT (PBE) results for Pm2Tm6Th3 after structural relaxation.

Cell: 6.131 6.135 12.792 Å, 76.20 61.49 60.03°
Sites, in units of the cell vectors:
Tm  0.087  0.000  0.245
Tm  0.244  0.331  0.754
Tm  0.756  0.669  0.246
Tm  0.425  0.331  0.246
Tm  0.913  0.000  0.755
Tm  0.575  0.669  0.754
Th  0.000  0.000  0.000
Th  0.667  0.667  0.000
Th  0.333  0.333  0.000
Pm  0.166  0.667  0.500
Pm  0.834  0.333  0.500

Results
- Formation energy: 0.156 eV/atom



DFT (PBE) results for Pm3Tm4Th after structural relaxation.

Cell: 6.247 7.207 11.466 Å, 90.00 90.00 90.00°
Sites, in units of the cell vectors:
Pm  0.644  0.623  0.000
Pm  0.477  0.375  0.252
Pm  0.477  0.375  0.748
Pm  0.977  0.625  0.752
Pm  0.144  0.377  0.500
Pm  0.977  0.625  0.248
Tm  0.149  0.874  0.500
Tm  0.986  0.124  0.248
Tm  0.648  0.122  0.500
Tm  0.486  0.876  0.748
Tm  0.148  0.878  0.000
Tm  0.986  0.124  0.752
Tm  0.486  0.876  0.252
Tm  0.649  0.126  0.000
Th  0.650  0.627  0.500
Th  0.150  0.373  0.000

Results
- Formation energy: 0.041 eV/atom
- ΔE to the lowest computed polymorph: 0.14 eV per formula unit



- formation energy of number 2 (Pm8TmTh2)?
  0.196 eV/atom



- Which of these has the highest formation energy?
  Pm8TmTh2



- What is the formation energy in the second record?
  0.196 eV/atom



- The lowest formation energy belongs to which entry?
  Pm3Tm4Th